Entry 1:
{"formula": "Dy2HoAl", "functional": "PBE", "state": "optimized geometry", "lattice_angstrom": [[-4.3682, -1.6228, -0.9193], [1.8279, -4.1962, -1.2780], [-0.3755, -1.5291, 4.4837]], "species": ["Al", "Ho", "Dy", "Dy"], "fractional_positions": [[0.5000, 0.5000, 0.5000], [0.5000, 0.0000, 0.0000], [0.0000, 0.0000, 0.5000], [0.0000, 0.5000, 0.0000]], "ef_kj_per_mol_fu": -73, "relative_energy_ev_per_fu": 0.04, "e_tot_ev_per_atom": -4.57}

Entry 2:
{"formula": "Dy4Ho5Al", "functional": "PBE", "state": "optimized geometry", "lattice_angstrom": [[3.5215, 0.0000, 0.0000], [0.0000, 3.5215, 0.0000], [0.0000, 0.0000, 23.9663]], "species": ["Dy", "Dy", "Dy", "Dy", "Ho", "Ho", "Ho", "Ho", "Ho", "Al"], "fractional_positions": [[0.0000, 0.0000, 0.1857], [0.0000, 0.0000, 0.3953], [0.0000, 0.0000, 0.6047], [0.0000, 0.0000, 0.8143], [0.5000, 0.5000, 0.0790], [0.5000, 0.5000, 0.2900], [0.5000, 0.5000, 0.5000], [0.5000, 0.5000, 0.7100], [0.5000, 0.5000, 0.9210], [0.0000, 0.0000, 0.0000]], "ef_kj_per_mol_fu": -61, "e_tot_ev_per_atom": -4.57}

Entry 3:
{"formula": "DyHo4Al4", "functional": "PBE", "state": "optimized geometry", "lattice_angstrom": [[5.7357, 0.0000, 0.0000], [0.0000, 8.8219, 0.0000], [0.0000, 0.0000, 8.8219]], "species": ["Dy", "Dy", "Ho", "Ho", "Ho", "Ho", "Ho", "Ho", "Ho", "Ho", "Al", "Al", "Al", "Al", "Al", "Al", "Al", "Al"], "fractional_positions": [[0.0000, 0.0000, 0.0000], [0.5000, 0.5000, 0.5000], [0.3881, 0.4258, 0.8355], [0.8881, 0.6645, 0.9258], [0.3881, 0.5742, 0.1645], [0.1119, 0.0742, 0.6645], [0.6119, 0.8355, 0.5742], [0.1119, 0.9258, 0.3355], [0.8881, 0.3355, 0.0742], [0.6119, 0.1645, 0.4258], [0.5955, 0.9041, 0.1950], [0.5955, 0.0959, 0.8050], [0.0955, 0.6950, 0.5959], [0.9045, 0.4041, 0.6950], [0.9045, 0.5959, 0.3050], [0.4045, 0.1950, 0.0959], [0.4045, 0.8050, 0.9041], [0.0955, 0.3050, 0.4041]], "ef_kj_per_mol_fu": -135, "e_tot_ev_per_atom": -4.37}

Entry 4:
{"formula": "Dy2HoAl2", "functional": "PBE", "state": "optimized geometry", "lattice_angstrom": [[3.6051, 0.0000, -0.4835], [0.0000, 5.1254, 0.0000], [-0.0333, 0.0000, 13.4641]], "species": ["Dy", "Dy", "Dy", "Dy", "Ho", "Ho", "Al", "Al", "Al", "Al"], "fractional_positions": [[0.0467, 0.7500, 0.0937], [0.9533, 0.2500, 0.9063], [0.2334, 0.7500, 0.4675], [0.7666, 0.2500, 0.5325], [0.8555, 0.7500, 0.7092], [0.1445, 0.2500, 0.2908], [0.6404, 0.7500, 0.2818], [0.3596, 0.2500, 0.7182], [0.4501, 0.7500, 0.9004], [0.5499, 0.2500, 0.0996]], "ef_kj_per_mol_fu": -152, "relative_energy_ev_per_fu": 0.00, "e_tot_ev_per_atom": -4.57}

Entry 5:
{"formula": "DyHo8Al2", "functional": "PBE", "state": "optimized geometry", "lattice_angstrom": [[-3.0034, -0.6263, -4.1428], [5.1226, 4.5798, -4.4062], [3.2495, -7.6516, 2.0085]], "species": ["Dy", "Ho", "Ho", "Ho", "Ho", "Ho", "Ho", "Ho", "Ho", "Al", "Al"], "fractional_positions": [[0.5000, 0.0000, 0.0000], [0.6098, 0.4714, 0.2197], [0.3118, 0.0482, 0.6236], [0.1530, 0.2211, 0.3060], [0.0562, 0.7342, 0.1124], [0.8470, 0.7789, 0.6940], [0.6882, 0.9518, 0.3764], [0.3902, 0.5286, 0.7803], [0.9438, 0.2658, 0.8876], [0.2244, 0.6417, 0.4487], [0.7756, 0.3583, 0.5513]], "ef_kj_per_mol_fu": -115, "relative_energy_ev_per_fu": 0.00, "e_tot_ev_per_atom": -4.54}

Entry 6:
{"formula": "Dy2HoAl", "functional": "PBE", "state": "optimized geometry", "lattice_angstrom": [[3.4985, 0.0000, 0.0000], [0.0000, 3.4985, 0.0000], [0.0000, 0.0000, 9.0212]], "species": ["Al", "Ho", "Dy", "Dy"], "fractional_positions": [[0.5000, 0.5000, 0.0000], [0.5000, 0.5000, 0.5000], [0.0000, 0.0000, 0.7849], [0.0000, 0.0000, 0.2151]], "ef_kj_per_mol_fu": -71, "relative_energy_ev_per_fu": 0.07, "e_tot_ev_per_atom": -4.56}

Entry 7:
{"formula": "Dy2HoAl2", "functional": "PBE", "state": "optimized geometry", "lattice_angstrom": [[3.5496, 0.0000, 0.0000], [0.0000, 5.5922, -0.0054], [0.0000, -1.3664, 13.3762]], "species": ["Dy", "Dy", "Dy", "Dy", "Ho", "Ho", "Al", "Al", "Al", "Al"], "fractional_positions": [[0.2500, 0.8457, 0.8871], [0.7500, 0.1543, 0.1129], [0.2500, 0.2592, 0.5389], [0.7500, 0.7408, 0.4611], [0.2500, 0.6847, 0.2364], [0.7500, 0.3153, 0.7636], [0.2500, 0.7912, 0.6594], [0.7500, 0.2088, 0.3406], [0.2500, 0.3487, 0.9546], [0.7500, 0.6513, 0.0454]], "ef_kj_per_mol_fu": -61, "relative_energy_ev_per_fu": 0.95, "e_tot_ev_per_atom": -4.38}

Entry 8:
{"formula": "Dy3Ho4Al", "functional": "PBE", "state": "optimized geometry", "lattice_angstrom": [[-1.6444, 2.5764, 1.7413], [-1.8469, -2.3939, 1.7978], [13.4934, -0.3981, 13.3319]], "species": ["Al", "Ho", "Ho", "Ho", "Ho", "Dy", "Dy", "Dy"], "fractional_positions": [[0.5000, 0.5000, 0.0000], [0.0000, 0.0000, 0.8996], [0.0000, 0.0000, 0.1004], [0.0000, 0.0000, 0.3669], [0.0000, 0.0000, 0.6331], [0.5000, 0.5000, 0.2353], [0.5000, 0.5000, 0.5000], [0.5000, 0.5000, 0.7647]], "ef_kj_per_mol_fu": -65, "e_tot_ev_per_atom": -4.57}